The following is a DFT calculation (SCAN) of a PBEsol-optimized structure of LiTi2P3O12.

Results
- E above lowest polymorph: 0.0000 eV per atom
- DOS(E_F): 0.000 states/eV per cell
- Space group: C2 (5)

Unit cell a=8.5016 b=8.5016 c=8.5018 alpha=119.60 beta=119.60 gamma=60.40
Fractional positions:
Li1 0.2493 0.2493 0.2486
Li2 0.7507 0.7507 0.7514
Ti1 0.1082 0.1108 0.3908
Ti2 0.3894 0.3919 0.1095
Ti3 0.6081 0.6106 0.8905
Ti4 0.8892 0.8918 0.6092
P1 0.2079 0.7921 0.0000
P2 0.2896 0.7104 0.5000
P3 0.4988 0.2104 0.7092
P4 0.7079 0.0012 0.2091
P5 0.7896 0.5012 0.2908
P6 0.9988 0.2921 0.7909
O1 0.0152 0.8073 0.8350
O2 0.0597 0.2485 0.6268
O3 0.1253 0.7542 0.5607
O4 0.1639 0.3071 0.9835
O5 0.1927 0.9848 0.1650
O6 0.2458 0.8747 0.4393
O7 0.2516 0.6280 0.0608
O8 0.3049 0.5179 0.3349
O9 0.3338 0.1951 0.5166
O10 0.3720 0.7484 0.9392
O11 0.4380 0.2543 0.8734
O12 0.4821 0.6951 0.6651
O13 0.5152 0.1662 0.1938
O14 0.5596 0.3746 0.7529
O15 0.6254 0.4404 0.2471
O16 0.6639 0.0179 0.6941
O17 0.6929 0.8361 0.0165
O18 0.7457 0.5620 0.1266
O19 0.7515 0.9403 0.3732
O20 0.8049 0.6662 0.4834
O21 0.8338 0.4848 0.8062
O22 0.8721 0.0622 0.2531
O23 0.9378 0.1279 0.7469
O24 0.9821 0.3361 0.3059


The following is a DFT calculation (SCAN) of a PBEsol-optimized structure of Li3Ti2P3O12.

Results
- E above lowest polymorph: 0.0000 eV per atom
- Space group: P2_1/c (14)

Unit cell a=8.7844 b=8.6882 c=14.8976 alpha=90.00 beta=125.74 gamma=90.00
Fractional positions:
Li1 0.0296 0.2325 0.3210
Li2 0.0296 0.2675 0.8210
Li3 0.3102 0.1977 0.2425
Li4 0.3102 0.3023 0.7425
Li5 0.3784 0.5788 0.3003
Li6 0.3784 0.9212 0.8003
Li7 0.6216 0.0788 0.1997
Li8 0.6216 0.4212 0.6997
Li9 0.6898 0.6977 0.2575
Li10 0.6898 0.8023 0.7575
Li11 0.9704 0.7325 0.1790
Li12 0.9704 0.7675 0.6790
Ti1 0.1363 0.5443 0.3892
Ti2 0.1363 0.9557 0.8892
Ti3 0.3633 0.5322 0.1105
Ti4 0.3633 0.9678 0.6105
Ti5 0.6367 0.0322 0.3895
Ti6 0.6367 0.4678 0.8895
Ti7 0.8637 0.0443 0.1108
Ti8 0.8637 0.4557 0.6108
P1 0.0457 0.0975 0.6489
P2 0.0457 0.4025 0.1489
P3 0.2521 0.6144 0.6491
P4 0.2521 0.8856 0.1491
P5 0.4548 0.2469 0.9915
P6 0.4548 0.2531 0.4915
P7 0.5452 0.7469 0.5085
P8 0.5452 0.7531 0.0085
P9 0.7479 0.1144 0.8509
P10 0.7479 0.3856 0.3509
P11 0.9543 0.5975 0.8511
P12 0.9543 0.9025 0.3511
O1 0.0299 0.2403 0.1871
O2 0.0299 0.2597 0.6871
O3 0.0735 0.5276 0.2319
O4 0.0735 0.9724 0.7319
O5 0.0934 0.5915 0.6636
O6 0.0934 0.9085 0.1636
O7 0.1217 0.5575 0.9662
O8 0.1217 0.9425 0.4662
O9 0.1819 0.5879 0.5291
O10 0.1819 0.9121 0.0291
O11 0.2350 0.1029 0.6621
O12 0.2350 0.3971 0.1621
O13 0.2645 0.1613 0.9273
O14 0.2645 0.3387 0.4273
O15 0.3260 0.7189 0.1848
O16 0.3260 0.7811 0.6848
O17 0.3820 0.6381 0.4278
O18 0.3820 0.8619 0.9278
O19 0.4080 0.0077 0.2212
O20 0.4080 0.4923 0.7212
O21 0.4485 0.1285 0.5621
O22 0.4485 0.3715 0.0621
O23 0.4766 0.1856 0.4038
O24 0.4766 0.3144 0.9038
O25 0.5234 0.6856 0.0962
O26 0.5234 0.8144 0.5962
O27 0.5515 0.6285 0.9379
O28 0.5515 0.8715 0.4379
O29 0.5920 0.5077 0.2788
O30 0.5920 0.9923 0.7788
O31 0.6180 0.1381 0.0722
O32 0.6180 0.3619 0.5722
O33 0.6740 0.2189 0.3152
O34 0.6740 0.2811 0.8152
O35 0.7355 0.6613 0.5727
O36 0.7355 0.8387 0.0727
O37 0.7650 0.6029 0.8379
O38 0.7650 0.8971 0.3379
O39 0.8181 0.0879 0.9709
O40 0.8181 0.4121 0.4709
O41 0.8783 0.0575 0.5338
O42 0.8783 0.4425 0.0338
O43 0.9066 0.0915 0.8364
O44 0.9066 0.4085 0.3364
O45 0.9265 0.0276 0.2681
O46 0.9265 0.4724 0.7681
O47 0.9701 0.7403 0.3129
O48 0.9701 0.7597 0.8129


The following is a DFT calculation (SCAN) of a PBEsol-optimized structure of Li3TiP2O8.

Results
- E above lowest polymorph: 0.0042 eV per atom
- Space group: P2_1/c (14)

Unit cell a=4.9469 b=17.8364 c=7.7276 alpha=90.00 beta=126.56 gamma=90.00
Fractional positions:
Li1 0.0086 0.0599 0.2139
Li2 0.0086 0.4401 0.7139
Li3 0.2849 0.1163 0.9993
Li4 0.2849 0.3837 0.4993
Li5 0.3618 0.7000 0.6842
Li6 0.3618 0.8000 0.1842
Li7 0.6382 0.2000 0.8158
Li8 0.6382 0.3000 0.3158
Li9 0.7151 0.6163 0.5007
Li10 0.7151 0.8837 0.0007
Li11 0.9914 0.5599 0.2861
Li12 0.9914 0.9401 0.7861
Ti1 0.1746 0.6264 0.9825
Ti2 0.1746 0.8736 0.4825
Ti3 0.8254 0.1264 0.5175
Ti4 0.8254 0.3736 0.0175
P1 0.1297 0.2159 0.2955
P2 0.1297 0.2841 0.7955
P3 0.4848 0.5359 0.7682
P4 0.4848 0.9641 0.2682
P5 0.5152 0.0359 0.7318
P6 0.5152 0.4641 0.2318
P7 0.8703 0.7159 0.2045
P8 0.8703 0.7841 0.7045
O1 0.0520 0.1730 0.1007
O2 0.0520 0.3270 0.6007
O3 0.1502 0.6990 0.1748
O4 0.1502 0.8010 0.6748
O5 0.1603 0.1979 0.7716
O6 0.1603 0.3021 0.2716
O7 0.1792 0.5605 0.7682
O8 0.1792 0.9395 0.2682
O9 0.1811 0.0662 0.5272
O10 0.1811 0.4338 0.0272
O11 0.4296 0.5649 0.5656
O12 0.4296 0.9351 0.0656
O13 0.4776 0.1919 0.5022
O14 0.4776 0.3081 0.0022
O15 0.4839 0.0520 0.2762
O16 0.4839 0.4480 0.7762
O17 0.5161 0.5520 0.2238
O18 0.5161 0.9480 0.7238
O19 0.5224 0.6919 0.9978
O20 0.5224 0.8081 0.4978
O21 0.5704 0.0649 0.9344
O22 0.5704 0.4351 0.4344
O23 0.8189 0.5662 0.9728
O24 0.8189 0.9338 0.4728
O25 0.8208 0.0605 0.7318
O26 0.8208 0.4395 0.2318
O27 0.8397 0.6979 0.7284
O28 0.8397 0.8021 0.2284
O29 0.8498 0.1990 0.3252
O30 0.8498 0.3010 0.8252
O31 0.9480 0.6730 0.3993
O32 0.9480 0.8270 0.8993


The following is a DFT calculation (SCAN) of a PBEsol-optimized structure of Li3TiP2O8.

Results
- E above lowest polymorph: 0.0043 eV per atom
- Space group: C2/c (15)

Unit cell a=5.1053 b=5.1053 c=13.6019 alpha=97.98 beta=97.98 gamma=53.39
Fractional positions:
Li1 0.0477 0.9523 0.7500
Li2 0.2949 0.3654 0.3377
Li3 0.3654 0.2949 0.8377
Li4 0.6346 0.7051 0.1623
Li5 0.7051 0.6346 0.6623
Li6 0.9523 0.0477 0.2500
Ti1 0.0000 0.0000 0.0000
Ti2 0.0000 0.0000 0.5000
P1 0.3202 0.3683 0.1174
P2 0.3683 0.3202 0.6174
P3 0.6317 0.6798 0.3826
P4 0.6798 0.6317 0.8826
O1 0.0237 0.3592 0.0865
O2 0.1744 0.5036 0.7107
O3 0.2009 0.7330 0.1348
O4 0.2113 0.5642 0.5353
O5 0.2670 0.7991 0.3652
O6 0.3592 0.0237 0.5865
O7 0.4358 0.7887 0.9647
O8 0.4964 0.8256 0.7893
O9 0.5036 0.1744 0.2107
O10 0.5642 0.2113 0.0353
O11 0.6408 0.9763 0.4135
O12 0.7330 0.2009 0.6348
O13 0.7887 0.4358 0.4647
O14 0.7991 0.2670 0.8652
O15 0.8256 0.4964 0.2893
O16 0.9763 0.6408 0.9135


The following is a DFT calculation (SCAN) of a PBEsol-optimized structure of LiTiP2O7.

Results
- E above lowest polymorph: 0.0000 eV per atom
- Space group: P2_1 (4)

Unit cell a=4.9049 b=8.1981 c=7.0147 alpha=90.00 beta=108.62 gamma=90.00
Fractional positions:
Li1 0.1698 0.0000 0.1623
Li2 0.8302 0.5000 0.8377
Ti1 0.2088 0.3557 0.2279
Ti2 0.7912 0.8557 0.7721
P1 0.2194 0.0679 0.5823
P2 0.4049 0.6774 0.0287
P3 0.5951 0.1774 0.9713
P4 0.7806 0.5679 0.4177
O1 0.0400 0.5244 0.3538
O2 0.1350 0.1548 0.3795
O3 0.1941 0.8202 0.9873
O4 0.2491 0.5135 0.0114
O5 0.3907 0.1801 0.0965
O6 0.4037 0.2024 0.7399
O7 0.4069 0.9194 0.5828
O8 0.5931 0.4194 0.4172
O9 0.5963 0.7024 0.2601
O10 0.6093 0.6801 0.9035
O11 0.7509 0.0135 0.9886
O12 0.8059 0.3202 0.0127
O13 0.8650 0.6548 0.6205
O14 0.9600 0.0244 0.6462


The following is a DFT calculation (SCAN) of a PBEsol-optimized structure of LiTi2P3O12.

Results
- E above lowest polymorph: 0.0059 eV per atom
- DOS(E_F): 0.000 states/eV per cell
- Space group: Pca2_1 (29)

Unit cell a=8.5877 b=11.9597 c=8.6235 alpha=90.00 beta=90.00 gamma=90.00
Fractional positions:
Li1 0.0312 0.0718 0.0000
Li2 0.4688 0.0718 0.5000
Li3 0.5312 0.9282 0.0000
Li4 0.9688 0.9282 0.5000
Ti1 0.0011 0.3722 0.7503
Ti2 0.0048 0.8611 0.8204
Ti3 0.4952 0.8611 0.3204
Ti4 0.4989 0.3722 0.2503
Ti5 0.5011 0.6278 0.7503
Ti6 0.5048 0.1389 0.8204
Ti7 0.9952 0.1389 0.3204
Ti8 0.9989 0.6278 0.2503
P1 0.1438 0.3960 0.3934
P2 0.1461 0.1047 0.6745
P3 0.2135 0.7463 0.5328
P4 0.2865 0.7463 0.0328
P5 0.3539 0.1047 0.1745
P6 0.3562 0.3960 0.8934
P7 0.6438 0.6040 0.3934
P8 0.6461 0.8953 0.6745
P9 0.7135 0.2537 0.5328
P10 0.7865 0.2537 0.0328
P11 0.8539 0.8953 0.1745
P12 0.8562 0.6040 0.8934
O1 0.0668 0.4777 0.2806
O2 0.0779 0.0201 0.7929
O3 0.0866 0.2762 0.3501
O4 0.0892 0.2202 0.7199
O5 0.0905 0.0710 0.5090
O6 0.0985 0.4188 0.5616
O7 0.1059 0.8279 0.6240
O8 0.1080 0.6734 0.4338
O9 0.1741 0.0957 0.1766
O10 0.1798 0.4013 0.8762
O11 0.1851 0.6758 0.1379
O12 0.1861 0.8236 0.9284
O13 0.3139 0.8236 0.4284
O14 0.3149 0.6758 0.6379
O15 0.3202 0.4013 0.3762
O16 0.3259 0.0957 0.6766
O17 0.3920 0.6734 0.9338
O18 0.3941 0.8279 0.1240
O19 0.4015 0.4188 0.0616
O20 0.4095 0.0710 0.0091
O21 0.4108 0.2202 0.2199
O22 0.4134 0.2762 0.8501
O23 0.4221 0.0201 0.2929
O24 0.4332 0.4777 0.7806
O25 0.5668 0.5223 0.2806
O26 0.5779 0.9799 0.7929
O27 0.5866 0.7238 0.3501
O28 0.5892 0.7798 0.7199
O29 0.5905 0.9290 0.5090
O30 0.5985 0.5812 0.5616
O31 0.6059 0.1721 0.6240
O32 0.6080 0.3266 0.4338
O33 0.6741 0.9043 0.1766
O34 0.6798 0.5987 0.8762
O35 0.6851 0.3242 0.1379
O36 0.6861 0.1764 0.9284
O37 0.8139 0.1764 0.4284
O38 0.8149 0.3242 0.6379
O39 0.8202 0.5987 0.3762
O40 0.8259 0.9043 0.6766
O41 0.8920 0.3266 0.9338
O42 0.8941 0.1721 0.1240
O43 0.9015 0.5812 0.0616
O44 0.9095 0.9290 0.0091
O45 0.9108 0.7798 0.2199
O46 0.9134 0.7238 0.8501
O47 0.9221 0.9799 0.2929
O48 0.9332 0.5223 0.7806


The following is a DFT calculation (SCAN) of a PBEsol-optimized structure of LiTiP2O7.

Results
- E above lowest polymorph: 0.0055 eV per atom
- Space group: C2/c (15)

Unit cell a=6.3592 b=6.3592 c=13.3512 alpha=105.36 beta=105.36 gamma=80.34
Fractional positions:
Li1 0.0280 0.2374 0.1543
Li2 0.2374 0.0280 0.6543
Li3 0.7626 0.9720 0.3457
Li4 0.9720 0.7626 0.8457
Ti1 0.1298 0.5970 0.3589
Ti2 0.4030 0.8702 0.1411
Ti3 0.5970 0.1298 0.8589
Ti4 0.8702 0.4030 0.6411
P1 0.0904 0.2489 0.8627
P2 0.2489 0.0904 0.3627
P3 0.3298 0.4120 0.5709
P4 0.4120 0.3298 0.0709
P5 0.5880 0.6702 0.9291
P6 0.6702 0.5880 0.4291
P7 0.7511 0.9096 0.6373
P8 0.9096 0.7511 0.1373
O1 0.0187 0.5706 0.1964
O2 0.0698 0.8893 0.1230
O3 0.0988 0.2698 0.3132
O4 0.1107 0.9302 0.3770
O5 0.1862 0.3335 0.6268
O6 0.2026 0.3831 0.9784
O7 0.2141 0.5999 0.5187
O8 0.2698 0.0988 0.8132
O9 0.3335 0.1862 0.1268
O10 0.3831 0.2026 0.4784
O11 0.4001 0.7859 0.9813
O12 0.4294 0.9813 0.3036
O13 0.4446 0.5443 0.3584
O14 0.4557 0.5554 0.1416
O15 0.5443 0.4446 0.8584
O16 0.5554 0.4557 0.6416
O17 0.5706 0.0187 0.6964
O18 0.5999 0.2141 0.0187
O19 0.6169 0.7974 0.5216
O20 0.6665 0.8138 0.8732
O21 0.7302 0.9012 0.1868
O22 0.7859 0.4001 0.4813
O23 0.7974 0.6169 0.0216
O24 0.8138 0.6665 0.3732
O25 0.8893 0.0698 0.6230
O26 0.9012 0.7302 0.6868
O27 0.9302 0.1107 0.8770
O28 0.9813 0.4294 0.8036


The following is a DFT calculation (SCAN) of a PBEsol-optimized structure of Li2TiP5O15.

Results
- Space group: Pc (7)

Unit cell a=5.2837 b=11.1299 c=12.8479 alpha=90.00 beta=111.35 gamma=90.00
Fractional positions:
Li1 0.0000 0.0313 0.0000
Li2 0.0000 0.9687 0.5000
Li3 0.9135 0.0350 0.6906
Li4 0.9135 0.9650 0.1906
Ti1 0.9478 0.4962 0.0876
Ti2 0.9478 0.5038 0.5876
P1 0.3778 0.3435 0.5127
P2 0.3778 0.6565 0.0127
P3 0.4509 0.0922 0.4559
P4 0.4509 0.9078 0.9559
P5 0.4630 0.0896 0.2337
P6 0.4630 0.9104 0.7337
P7 0.5185 0.3387 0.1656
P8 0.5185 0.6613 0.6656
P9 0.9461 0.4744 0.3378
P10 0.9461 0.5256 0.8378
O1 0.1776 0.0603 0.1591
O2 0.1776 0.9397 0.6591
O3 0.1943 0.3824 0.3873
O4 0.1943 0.6176 0.8873
O5 0.2232 0.3622 0.1426
O6 0.2232 0.6378 0.6426
O7 0.2433 0.0050 0.9273
O8 0.2433 0.9950 0.4273
O9 0.2576 0.3922 0.5933
O10 0.2576 0.6078 0.0933
O11 0.3360 0.2021 0.5086
O12 0.3360 0.7979 0.0086
O13 0.4568 0.1560 0.3443
O14 0.4568 0.8440 0.8443
O15 0.5744 0.1983 0.1784
O16 0.5744 0.8017 0.6784
O17 0.6412 0.3840 0.0847
O18 0.6412 0.6160 0.5847
O19 0.6689 0.3713 0.5310
O20 0.6689 0.6287 0.0310
O21 0.6734 0.0064 0.7644
O22 0.6734 0.9936 0.2644
O23 0.6886 0.3873 0.2893
O24 0.6886 0.6127 0.7893
O25 0.7367 0.0651 0.5316
O26 0.7367 0.9349 0.0316
O27 0.9097 0.4532 0.9296
O28 0.9097 0.5468 0.4296
O29 0.9893 0.4578 0.7449
O30 0.9893 0.5422 0.2449


The following is a DFT calculation (SCAN) of a PBEsol-optimized structure of LiTiPO2.

Results
- DOS(E_F): 1.351 states/eV per cell
- Space group: P4/mmm (123)

Unit cell a=3.6056 b=3.6056 c=4.0030 alpha=90.00 beta=90.00 gamma=90.00
Fractional positions:
Li1 0.0000 0.0000 0.0000
Ti1 0.5000 0.5000 0.5000
P1 0.0000 0.0000 0.5000
O1 0.0000 0.5000 0.0000
O2 0.5000 0.0000 0.0000


Formation energy without anion corrections / eV per atom: -2.82 -2.74 -2.69 -2.69 -2.70 -2.82 -2.70 -2.52 -0.42